A geometry-optimized Li5Mn3O12 structure. Source: the Alexandria database, functional PBE+U.

abc: 10.1262 10.1262 10.1262
angles: 109.47 109.47 109.47
Last column: nearest neighbours and their distance in Å.
Sites, in units of the cell vectors:
Mn 0.7500 0.3750 0.1250  4 O 1.96
Mn 0.8750 0.7500 0.1250  4 O 1.96
Mn 0.3750 0.7500 0.6250  4 O 1.96
Mn 0.2500 0.1250 0.3750  4 O 1.96
Mn 0.8750 0.1250 0.2500  4 O 1.96
Mn 0.3750 0.6250 0.2500  4 O 1.96
Mn 0.6250 0.3750 0.7500  4 O 1.96
Mn 0.1250 0.8750 0.7500  4 O 1.96
Mn 0.7500 0.8750 0.6250  4 O 1.96
Mn 0.6250 0.2500 0.3750  4 O 1.96
Mn 0.1250 0.2500 0.8750  4 O 1.96
Mn 0.2500 0.6250 0.8750  4 O 1.96
Li 0.1250 0.3750 0.2500  4 O 1.90
Li 0.0000 0.5000 0.0000  6 O 2.10
Li 0.0000 0.0000 0.0000  6 O 2.10
Li 0.3750 0.2500 0.1250  4 O 1.90
Li 0.5000 0.0000 0.5000  6 O 2.10
Li 0.5000 0.5000 0.0000  6 O 2.10
Li 0.1250 0.7500 0.3750  4 O 1.90
Li 0.7500 0.1250 0.8750  4 O 1.90
Li 0.7500 0.6250 0.3750  4 O 1.90
Li 0.3750 0.1250 0.7500  4 O 1.90
Li 0.6250 0.8750 0.2500  4 O 1.90
Li 0.5000 0.5000 0.5000  6 O 2.10
Li 0.5000 0.0000 0.0000  6 O 2.10
Li 0.0000 0.0000 0.5000  6 O 2.10
Li 0.2500 0.3750 0.6250  4 O 1.90
Li 0.2500 0.8750 0.1250  4 O 1.90
Li 0.0000 0.5000 0.5000  6 O 2.10
Li 0.8750 0.2500 0.6250  4 O 1.90
Li 0.6250 0.7500 0.8750  4 O 1.90
Li 0.8750 0.6250 0.7500  4 O 1.90
O 0.7422 0.1283 0.0610  2 Li 1.90-2.10, 1 Mn 1.96
O 0.3189 0.5610 0.4328  2 Li 1.90-2.10, 1 Mn 1.96
O 0.9390 0.3717 0.2578  2 Li 1.90-2.10, 1 Mn 1.96
O 0.5610 0.2422 0.1283  2 Li 1.90-2.10, 1 Mn 1.96
O 0.6139 0.7422 0.6811  2 Li 1.90-2.10, 1 Mn 1.96
O 0.9390 0.5672 0.1811  2 Li 1.90-2.10, 1 Mn 1.96
O 0.3189 0.7578 0.3861  2 Li 1.90-2.10, 1 Mn 1.96
O 0.0672 0.8861 0.1283  2 Li 1.90-2.10, 1 Mn 1.96
O 0.5672 0.9390 0.6811  2 Li 1.90-2.10, 1 Mn 1.96
O 0.7422 0.6139 0.1811  2 Li 1.90-2.10, 1 Mn 1.96
O 0.7578 0.4390 0.3717  2 Li 1.90-2.10, 1 Mn 1.96
O 0.8189 0.9328 0.0610  2 Li 1.90-2.10, 1 Mn 1.96
O 0.1283 0.7422 0.5610  2 Li 1.90-2.10, 1 Mn 1.96
O 0.3717 0.4328 0.1139  2 Li 1.90-2.10, 1 Mn 1.96
O 0.1139 0.9328 0.3717  2 Li 1.90-2.10, 1 Mn 1.96
O 0.3861 0.1283 0.5672  2 Li 1.90-2.10, 1 Mn 1.96
O 0.1139 0.1811 0.2422  2 Li 1.90-2.10, 1 Mn 1.96
O 0.4390 0.6811 0.0672  2 Li 1.90-2.10, 1 Mn 1.96
O 0.8189 0.8861 0.2578  2 Li 1.90-2.10, 1 Mn 1.96
O 0.1283 0.3861 0.0672  2 Li 1.90-2.10, 1 Mn 1.96
O 0.3717 0.9390 0.7578  2 Li 1.90-2.10, 1 Mn 1.96
O 0.5672 0.6283 0.3861  2 Li 1.90-2.10, 1 Mn 1.96
O 0.9328 0.8189 0.5610  2 Li 1.90-2.10, 1 Mn 1.96
O 0.7578 0.3189 0.8861  2 Li 1.90-2.10, 1 Mn 1.96
O 0.4328 0.3717 0.6139  2 Li 1.90-2.10, 1 Mn 1.96
O 0.0672 0.1811 0.4390  2 Li 1.90-2.10, 1 Mn 1.96
O 0.2422 0.6811 0.1139  2 Li 1.90-2.10, 1 Mn 1.96
O 0.1811 0.1139 0.7422  2 Li 1.90-2.10, 1 Mn 1.96
O 0.6283 0.0610 0.2422  2 Li 1.90-2.10, 1 Mn 1.96
O 0.8717 0.6139 0.9328  2 Li 1.90-2.10, 1 Mn 1.96
O 0.5610 0.3189 0.9328  2 Li 1.90-2.10, 1 Mn 1.96
O 0.6139 0.8717 0.4328  2 Li 1.90-2.10, 1 Mn 1.96
O 0.8861 0.8189 0.7578  2 Li 1.90-2.10, 1 Mn 1.96
O 0.8861 0.0672 0.6283  2 Li 1.90-2.10, 1 Mn 1.96
O 0.8717 0.2578 0.4390  2 Li 1.90-2.10, 1 Mn 1.96
O 0.1811 0.0672 0.9390  2 Li 1.90-2.10, 1 Mn 1.96
O 0.6283 0.5672 0.8861  2 Li 1.90-2.10, 1 Mn 1.96
O 0.4328 0.0610 0.3189  2 Li 1.90-2.10, 1 Mn 1.96
O 0.2578 0.3861 0.8189  2 Li 1.90-2.10, 1 Mn 1.96
O 0.2422 0.5610 0.6283  2 Li 1.90-2.10, 1 Mn 1.96
O 0.9328 0.1139 0.8717  2 Li 1.90-2.10, 1 Mn 1.96
O 0.6811 0.2422 0.6139  2 Li 1.90-2.10, 1 Mn 1.96
O 0.4390 0.7578 0.8717  2 Li 1.90-2.10, 1 Mn 1.96
O 0.0610 0.4328 0.8189  2 Li 1.90-2.10, 1 Mn 1.96
O 0.3861 0.2578 0.3189  2 Li 1.90-2.10, 1 Mn 1.96
O 0.0610 0.6283 0.7422  2 Li 1.90-2.10, 1 Mn 1.96
O 0.6811 0.4390 0.5672  2 Li 1.90-2.10, 1 Mn 1.96
O 0.2578 0.8717 0.9390  2 Li 1.90-2.10, 1 Mn 1.96

Output
DOS at the Fermi energy = 0.347 states/eV per atom
Electronic total energy = -5.4506 eV per atom



A geometry-optimized LiMnO structure. Source: the Alexandria database, functional PBE+U.

abc: 5.9301 5.9301 6.5424
angles: 90.00 90.00 90.00
Last column: nearest neighbours and their distance in Å.
Sites, in units of the cell vectors:
Mn 0.0000 0.0000 0.5662  1 O 1.80
O 0.0000 0.0000 0.2914  1 Li 1.71, 1 Mn 1.80
Li 0.0000 0.0000 0.0304  1 O 1.71

Output
Energy above the most stable polymorph in this dataset = 1107 meV per atom
Electronic total energy = -4.8909 eV per atom



A geometry-optimized LiMn7O12 structure. Source: the Alexandria database, functional PBE+U.

abc: 5.1256 5.1256 10.1547
angles: 83.59 83.59 120.62
Last column: nearest neighbours and their distance in Å.
Sites, in units of the cell vectors:
Li 0.0682 0.9318 0.0000  6 O 2.01-2.18
Mn 0.9323 0.0677 0.5000  6 O 1.92-2.13
Mn 0.7373 0.2627 0.0000  6 O 1.90-2.11
Mn 0.5912 0.4088 0.5000  6 O 1.93-1.98
Mn 0.4153 0.5847 0.0000  6 O 1.94-1.96
Mn 0.4879 0.0123 0.7631  4 O 1.93-2.12
Mn 0.2618 0.7382 0.5000  6 O 1.96-2.07
Mn 0.9877 0.5121 0.2369  4 O 1.93-2.12
O 0.8542 0.3533 0.6086  4 Mn 1.94-2.10
O 0.9719 0.7547 0.3909  4 Mn 1.93-2.13
O 0.6940 0.5325 0.1020  2 Mn 1.90-1.96, 1 Li 2.01
O 0.6467 0.1458 0.3914  4 Mn 1.94-2.10
O 0.4675 0.3060 0.8980  2 Mn 1.90-1.96, 1 Li 2.01
O 0.7466 0.9744 0.8896  3 Mn 1.94-2.01
O 0.2453 0.0281 0.6091  4 Mn 1.93-2.13
O 0.5552 0.7044 0.5983  3 Mn 1.92-1.98
O 0.3563 0.8407 0.1135  3 Mn 1.93-2.11
O 0.2956 0.4448 0.4017  3 Mn 1.92-1.98
O 0.0256 0.2534 0.1104  3 Mn 1.94-2.01
O 0.1593 0.6437 0.8865  3 Mn 1.93-2.11

Output
Energy above the most stable polymorph in this dataset = 74 meV per atom
DOS at the Fermi energy = 0.012 states/eV per atom
Electronic total energy = -7.1317 eV per atom



A geometry-optimized Li3MnO4 structure. Source: the Alexandria database, functional PBE+U.

abc: 4.4912 4.4912 5.3595
angles: 114.77 114.77 90.00
Last column: nearest neighbours and their distance in Å.
Sites, in units of the cell vectors:
Li 0.5000 0.5000 0.0000  4 O 2.03
Li 0.7500 0.2500 0.5000  4 O 1.98
Li 0.2500 0.7500 0.5000  4 O 1.98
Mn 0.0000 0.0000 0.0000  4 O 1.72
O 0.3367 0.3367 0.2306  1 Mn 1.72
O 0.8939 0.8939 0.2306  1 Mn 1.72
O 0.1061 0.6633 0.7694  1 Mn 1.72
O 0.6633 0.1061 0.7694  1 Mn 1.72

Output
Energy above the most stable polymorph in this dataset = 0 meV per atom
DOS at the Fermi energy = 0.000 states/eV per atom
Electronic total energy = -5.7744 eV per atom



A geometry-optimized LiMn16O32 structure. Source: the Alexandria database, functional PBE+U.

abc: 5.8850 9.7971 10.0433
angles: 89.29 90.00 90.00
Last column: nearest neighbours and their distance in Å.
Sites, in units of the cell vectors:
Li 0.0000 0.4901 0.4260  2 O 2.01-2.02
Mn 0.7491 0.1687 0.3493  6 O 1.92-2.00
Mn 0.2509 0.1687 0.3493  6 O 1.92-2.00
Mn 0.7496 0.3468 0.8324  6 O 1.92-1.97
Mn 0.2504 0.3468 0.8324  6 O 1.92-1.97
Mn 0.2510 0.6525 0.1618  6 O 1.92-1.99
Mn 0.7490 0.6525 0.1618  6 O 1.92-1.99
Mn 0.2502 0.8317 0.6470  6 O 1.92-1.96
Mn 0.7498 0.8317 0.6470  6 O 1.92-1.96
Mn 0.5000 0.6687 0.8481  6 O 1.92-1.95
Mn 0.0000 0.6684 0.8487  6 O 1.92-1.96
Mn 0.5000 0.8455 0.3334  6 O 1.93-1.98
Mn 0.0000 0.8468 0.3341  6 O 1.92-2.01
Mn 0.5000 0.1537 0.6628  6 O 1.93-1.96
Mn 0.0000 0.1531 0.6629  6 O 1.92-1.96
Mn 0.5000 0.3302 0.1466  6 O 1.93-1.95
Mn 0.0000 0.3302 0.1446  6 O 1.91-1.98
O 0.5000 0.9575 0.6535  3 Mn 1.92-1.93
O 0.0000 0.9572 0.6535  3 Mn 1.92
O 0.5000 0.6729 0.0403  3 Mn 1.92-1.93
O 0.0000 0.6723 0.0407  3 Mn 1.92-1.93
O 0.5000 0.3270 0.9544  3 Mn 1.92-1.93
O 0.0000 0.3266 0.9540  3 Mn 1.91-1.92
O 0.5000 0.0421 0.3428  3 Mn 1.92-1.93
O 0.0000 0.0426 0.3428  3 Mn 1.92-1.93
O 0.2496 0.4563 0.1555  3 Mn 1.92-1.93
O 0.7504 0.4563 0.1555  3 Mn 1.92-1.93
O 0.2499 0.1760 0.5408  3 Mn 1.93
O 0.7501 0.1760 0.5408  3 Mn 1.93
O 0.7502 0.8237 0.4557  3 Mn 1.92-1.93
O 0.2498 0.8237 0.4557  3 Mn 1.92-1.93
O 0.7500 0.5429 0.8403  3 Mn 1.92
O 0.2500 0.5429 0.8403  3 Mn 1.92
O 0.7503 0.7989 0.8387  3 Mn 1.95
O 0.2497 0.7989 0.8387  3 Mn 1.95
O 0.2491 0.8452 0.2061  3 Mn 1.95
O 0.7509 0.8452 0.2061  3 Mn 1.95
O 0.2496 0.2003 0.1570  3 Mn 1.95
O 0.7504 0.2003 0.1570  3 Mn 1.95
O 0.7500 0.1533 0.7901  3 Mn 1.95
O 0.2500 0.1533 0.7901  3 Mn 1.95
O 0.5000 0.3005 0.3389  3 Mn 1.95-1.96
O 0.0000 0.3057 0.3404  3 Mn 1.98-2.00, 1 Li 2.01
O 0.5000 0.3481 0.7047  3 Mn 1.95-1.96
O 0.0000 0.3485 0.7030  3 Mn 1.96-1.97
O 0.5000 0.7008 0.6560  3 Mn 1.95
O 0.0000 0.6993 0.6552  3 Mn 1.96
O 0.5000 0.6492 0.2897  3 Mn 1.95-1.98
O 0.0000 0.6465 0.2938  3 Mn 1.99-2.01, 1 Li 2.02

Output
Energy above the most stable polymorph in this dataset = 0 meV per atom
DOS at the Fermi energy = 0.141 states/eV per atom
Electronic total energy = -7.0879 eV per atom



A geometry-optimized Li7Mn5O12 structure. Source: the Alexandria database, functional PBE+U.

abc: 6.0314 6.5195 6.5142
angles: 96.91 103.66 113.65
Last column: nearest neighbours and their distance in Å.
Sites, in units of the cell vectors:
Li 0.5000 0.0000 0.0000  6 O 2.07-2.20
Li 0.7418 0.8388 0.3177  6 O 2.06-2.29
Li 0.2582 0.1611 0.6823  6 O 2.06-2.29
Li 0.7689 0.5117 0.9986  5 O 2.04-2.15
Li 0.2311 0.4883 0.0014  5 O 2.04-2.15
Li 0.2547 0.8309 0.3310  6 O 2.05-2.25
Li 0.7453 0.1691 0.6690  6 O 2.05-2.25
Mn 0.0142 0.6761 0.6678  5 O 1.94-2.05
Mn 0.9858 0.3239 0.3322  5 O 1.94-2.05
Mn 0.0000 0.0000 0.0000  6 O 1.94-1.96
Mn 0.5038 0.6726 0.6694  4 O 1.93-2.00
Mn 0.4962 0.3274 0.3306  4 O 1.93-2.00
O 0.6269 0.4333 0.6546  3 Mn 1.98-2.21, 2 Li 2.12
O 0.3731 0.5667 0.3454  3 Mn 1.98-2.21, 2 Li 2.12
O 0.1132 0.7576 0.9830  2 Mn 1.94-1.96, 3 Li 2.09-2.15
O 0.8868 0.2424 0.0170  2 Mn 1.94-1.96, 3 Li 2.09-2.15
O 0.6314 0.1047 0.3366  2 Mn 1.93-2.05, 3 Li 2.05-2.09
O 0.3686 0.8953 0.6634  2 Mn 1.93-2.05, 3 Li 2.05-2.09
O 0.1109 0.4221 0.6537  2 Mn 1.96-1.98, 2 Li 2.14-2.20
O 0.8891 0.5779 0.3463  2 Mn 1.96-1.98, 2 Li 2.14-2.20
O 0.6599 0.7703 0.9840  2 Mn 1.95-1.96, 3 Li 2.04-2.09
O 0.3401 0.2297 0.0160  2 Mn 1.95-1.96, 3 Li 2.04-2.09
O 0.0995 0.0804 0.3160  2 Mn 1.94-1.97, 1 Li 2.10
O 0.9005 0.9196 0.6840  2 Mn 1.94-1.97, 1 Li 2.10

Output
Energy above the most stable polymorph in this dataset = 18 meV per atom
DOS at the Fermi energy = 0.161 states/eV per atom
Electronic total energy = -6.3721 eV per atom